The following is a PBE-GGA calculation of ZrH2W2 after structural relaxation, from the Alexandria database.

Values from the calculation:
D(E_F) ... 4.03 states/eV/f.u.
DFT total energy ... -7.29 eV per atom
Relative energy among the computed polymorphs ... 0.8210 eV/atom

Geometry as extended XYZ:
```
10
Lattice="7.133 0.000 0.000 0.000 7.133 0.000 0.000 0.000 2.708" Properties=species:S:1:pos:R:3 pbc="T T T"
Zr 0.000 0.000 0.000
Zr 3.566 3.566 0.000
H 0.719 2.847 1.354
H 2.847 6.413 1.354
H 4.286 0.719 1.354
H 6.413 4.286 1.354
W 0.885 4.451 0.000
W 2.681 0.885 0.000
W 4.451 6.248 0.000
W 6.248 2.681 0.000
```

The following is a PBE-GGA calculation of ZrHW3 after structural relaxation, from the Alexandria database.

Values from the calculation:
D(E_F) ... 4.44 states/eV/f.u.
DFT total energy ... -6.83 eV per atom
Relative energy among the computed polymorphs ... 2.9160 eV/atom

Geometry as extended XYZ:
```
5
Lattice="4.843 0.000 0.000 0.000 4.843 0.000 0.000 0.000 4.843" Properties=species:S:1:pos:R:3 pbc="T T T"
Zr 0.000 0.000 0.000
H 2.421 2.421 2.421
W 0.000 0.000 2.421
W 0.000 2.421 0.000
W 2.421 0.000 0.000
```

The following is a PBE-GGA calculation of ZrHW3 after structural relaxation, from the Alexandria database.

Values from the calculation:
D(E_F) ... 5.40 states/eV/f.u.
DFT total energy ... -9.74 eV per atom
Relative energy among the computed polymorphs ... 0.0000 eV/atom

Geometry as extended XYZ:
```
5
Lattice="4.181 0.000 0.000 0.000 4.181 0.000 0.000 0.000 4.181" Properties=species:S:1:pos:R:3 pbc="T T T"
Zr 0.000 0.000 0.000
H 2.090 2.090 2.090
W 0.000 2.090 2.090
W 2.090 0.000 2.090
W 2.090 2.090 0.000
```

The following is a PBE-GGA calculation of ZrHW2 after structural relaxation, from the Alexandria database.

Values from the calculation:
D(E_F) ... 2.15 states/eV/f.u.
DFT total energy ... -9.24 eV per atom
Relative energy among the computed polymorphs ... 0.0000 eV/atom

Geometry as extended XYZ:
```
8
Lattice="-2.797 2.797 3.946 2.797 -2.797 3.946 2.797 2.797 -3.946" Properties=species:S:1:pos:R:3 pbc="T T T"
Zr 2.797 1.398 0.987
Zr 0.000 1.398 2.960
H 2.797 -1.398 2.960
H 0.000 4.195 0.987
W 0.000 0.000 0.000
W 1.398 1.398 -1.973
W 1.398 -1.398 1.973
W 0.000 2.797 0.000
```

The following is a PBE-GGA calculation of ZrH3W after structural relaxation, from the Alexandria database.

Values from the calculation:
D(E_F) ... 2.39 states/eV/f.u.
DFT total energy ... -5.76 eV per atom
Relative energy among the computed polymorphs ... 0.4926 eV/atom

Geometry as extended XYZ:
```
5
Lattice="3.639 0.000 0.000 0.000 3.639 0.000 0.000 0.000 3.639" Properties=species:S:1:pos:R:3 pbc="T T T"
Zr 0.000 0.000 0.000
H 0.000 0.000 1.819
H 0.000 1.819 0.000
H 1.819 0.000 0.000
W 1.819 1.819 1.819
```

The following is a PBE-GGA calculation of YH3 after structural relaxation, from the Alexandria database.

Values from the calculation:
D(E_F) ... 0.10 states/eV/f.u.
DFT total energy ... -4.54 eV per atom

Geometry as extended XYZ:
```
4
Lattice="3.301 0.000 0.000 0.000 3.301 0.000 0.000 0.000 3.301" Properties=species:S:1:pos:R:3 pbc="T T T"
Y 0.000 0.000 0.000
H 0.000 1.651 1.651
H 1.651 0.000 1.651
H 1.651 1.651 0.000
```

The following is a PBE-GGA calculation of YH after structural relaxation, from the Alexandria database.

Values from the calculation:
D(E_F) ... 0.84 states/eV/f.u.
DFT total energy ... -5.39 eV per atom

Geometry as extended XYZ:
```
12
Lattice="3.671 0.000 0.000 0.000 10.821 0.000 0.000 0.000 5.265" Properties=species:S:1:pos:R:3 pbc="T T T"
Y 0.918 0.962 1.255
Y 0.918 4.449 1.255
Y 0.918 8.116 1.302
Y 2.753 2.705 3.963
Y 2.753 6.372 4.009
Y 2.753 9.859 4.009
H 0.918 2.705 2.641
H 0.918 6.294 5.247
H 0.918 9.938 5.247
H 2.753 0.884 0.018
H 2.753 4.527 0.018
H 2.753 8.116 2.624
```

The following is a PBE-GGA calculation of YH after structural relaxation, from the Alexandria database.

Values from the calculation:
D(E_F) ... 0.47 states/eV/f.u.
DFT total energy ... -5.39 eV per atom

Geometry as extended XYZ:
```
4
Lattice="3.671 0.000 0.000 -1.835 3.179 0.000 0.000 0.000 5.851" Properties=species:S:1:pos:R:3 pbc="T T T"
Y 0.000 2.119 0.000
Y 1.835 1.060 2.925
H 0.000 2.119 3.571
H 1.835 1.060 0.646
```

The following is a PBE-GGA calculation of Y8H after structural relaxation, from the Alexandria database.

Values from the calculation:
D(E_F) ... 16.74 states/eV/f.u.
DFT total energy ... -6.20 eV per atom

Geometry as extended XYZ:
```
9
Lattice="7.294 0.000 0.000 -3.647 6.316 0.000 0.000 0.000 5.669" Properties=species:S:1:pos:R:3 pbc="T T T"
Y 0.000 2.088 1.411
Y -1.839 5.273 1.411
Y 1.808 1.044 4.258
Y 0.000 4.211 4.206
Y 3.647 2.105 1.463
Y 1.839 5.273 1.411
Y 5.486 1.044 4.258
Y 3.647 4.229 4.258
H 0.000 0.000 2.835
```

The following is a PBE-GGA calculation of YH after structural relaxation, from the Alexandria database.

Values from the calculation:
D(E_F) ... 0.48 states/eV/f.u.
DFT total energy ... -5.32 eV per atom

Geometry as extended XYZ:
```
6
Lattice="3.496 0.000 0.000 0.000 4.982 2.824 0.000 -4.982 2.824" Properties=species:S:1:pos:R:3 pbc="T T T"
Y 0.000 0.000 0.000
Y 1.748 -1.653 2.941
Y 1.748 1.653 2.941
H 0.000 -2.875 1.694
H 0.000 2.875 1.694
H 1.748 0.000 4.357
```

The following is a PBE-GGA calculation of YH3 after structural relaxation, from the Alexandria database.

Values from the calculation:
D(E_F) ... 0.17 states/eV/f.u.
DFT total energy ... -4.75 eV per atom

Geometry as extended XYZ:
```
8
Lattice="3.656 0.000 0.000 -1.828 3.166 0.000 0.000 0.000 6.565" Properties=species:S:1:pos:R:3 pbc="T T T"
Y 0.000 2.111 1.641
Y 1.828 1.055 4.924
H 0.000 0.000 1.641
H 0.000 0.000 4.924
H 0.000 2.111 3.900
H 0.000 2.111 5.948
H 1.828 1.055 0.617
H 1.828 1.055 2.665
```

The following is a PBE-GGA calculation of YH4 after structural relaxation, from the Alexandria database.

Values from the calculation:
DFT total energy ... -3.73 eV per atom

Geometry as extended XYZ:
```
5
Lattice="4.199 0.000 0.000 0.000 4.199 0.000 0.000 0.000 4.199" Properties=species:S:1:pos:R:3 pbc="T T T"
Y 0.000 0.000 0.000
H 0.000 0.000 2.099
H 0.000 2.099 0.000
H 2.099 0.000 0.000
H 2.099 2.099 2.099
```

The following is a PBE-GGA calculation of YH5 after structural relaxation, from the Alexandria database.

Values from the calculation:
D(E_F) ... 1.26 states/eV/f.u.
DFT total energy ... -3.68 eV per atom

Geometry as extended XYZ:
```
6
Lattice="1.743 -3.616 0.000 1.743 3.616 0.000 0.000 0.000 3.490" Properties=species:S:1:pos:R:3 pbc="T T T"
Y 0.000 0.000 0.000
H 1.743 2.302 1.745
H 1.743 1.401 0.000
H 1.743 0.000 1.745
H 1.743 -1.401 0.000
H 1.743 -2.302 1.745
```

The following is a PBE-GGA calculation of Y3H2 after structural relaxation, from the Alexandria database.

Values from the calculation:
D(E_F) ... 3.69 states/eV/f.u.
DFT total energy ... -5.64 eV per atom
Relative energy among the computed polymorphs ... 0.0000 eV/atom

Geometry as extended XYZ:
```
10
Lattice="3.694 0.000 0.000 -1.847 3.199 0.000 0.000 0.000 17.323" Properties=species:S:1:pos:R:3 pbc="T T T"
Y 0.000 2.133 1.522
Y 0.000 2.133 7.140
Y 0.000 2.133 12.992
Y 1.847 1.066 4.331
Y 1.847 1.066 10.183
Y 1.847 1.066 15.801
H 0.000 2.133 10.728
H 0.000 2.133 15.256
H 1.847 1.066 2.067
H 1.847 1.066 6.595
```

The following is a PBE-GGA calculation of YH after structural relaxation, from the Alexandria database.

Values from the calculation:
D(E_F) ... 0.70 states/eV/f.u.
DFT total energy ... -5.35 eV per atom

Geometry as extended XYZ:
```
2
Lattice="0.000 2.598 2.598 2.598 0.000 2.598 2.598 2.598 0.000" Properties=species:S:1:pos:R:3 pbc="T T T"
Y 0.000 0.000 0.000
H 1.299 1.299 1.299
```

The following is a PBE-GGA calculation of YH after structural relaxation, from the Alexandria database.

Values from the calculation:
D(E_F) ... 0.60 states/eV/f.u.
DFT total energy ... -5.40 eV per atom

Geometry as extended XYZ:
```
8
Lattice="6.095 0.000 0.000 0.000 6.095 0.000 0.000 0.000 3.748" Properties=species:S:1:pos:R:3 pbc="T T T"
Y 1.227 1.227 0.000
Y 1.820 4.275 1.874
Y 4.275 1.820 1.874
Y 4.868 4.868 0.000
H 0.963 5.132 0.000
H 2.084 2.084 1.874
H 4.011 4.011 1.874
H 5.132 0.963 0.000
```

The following is a PBE-GGA calculation of YH after structural relaxation, from the Alexandria database.

Values from the calculation:
D(E_F) ... 1.14 states/eV/f.u.
DFT total energy ... -5.29 eV per atom

Geometry as extended XYZ:
```
16
Lattice="9.067 0.000 0.000 0.000 9.067 0.000 0.000 0.000 3.605" Properties=species:S:1:pos:R:3 pbc="T T T"
Y 0.564 2.691 0.000
Y 2.261 5.289 1.802
Y 2.691 8.502 0.000
Y 3.778 2.261 1.802
Y 5.289 6.806 1.802
Y 6.376 0.564 0.000
Y 6.806 3.778 1.802
Y 8.502 6.376 0.000
H 1.124 4.852 0.000
H 1.758 3.167 1.802
H 3.167 7.309 1.802
H 4.215 1.124 0.000
H 4.852 7.943 0.000
H 5.899 1.758 1.802
H 7.309 5.899 1.802
H 7.943 4.215 0.000
```

The following is a PBE-GGA calculation of Y3H2 after structural relaxation, from the Alexandria database.

Values from the calculation:
D(E_F) ... 4.26 states/eV/f.u.
DFT total energy ... -5.52 eV per atom
Relative energy among the computed polymorphs ... 0.1173 eV/atom

Geometry as extended XYZ:
```
10
Lattice="3.157 1.823 5.544 -3.157 1.823 5.544 0.000 -3.646 5.544" Properties=species:S:1:pos:R:3 pbc="T T T"
Y -2.109 -0.008 6.930
Y -1.048 -1.831 9.702
Y 1.062 -1.823 6.930
Y -1.062 1.823 9.702
Y 1.048 1.831 6.930
Y 2.109 0.008 9.702
H 0.000 0.000 2.786
H 0.000 0.000 5.530
H 0.000 0.000 11.102
H 0.000 0.000 13.845
```

The following is a PBE-GGA calculation of YH after structural relaxation, from the Alexandria database.

Values from the calculation:
D(E_F) ... 1.15 states/eV/f.u.
DFT total energy ... -5.41 eV per atom

Geometry as extended XYZ:
```
8
Lattice="0.000 3.738 5.161 3.627 0.000 5.161 3.627 3.738 0.000" Properties=species:S:1:pos:R:3 pbc="T T T"
Y 2.720 0.878 3.871
Y 4.534 2.748 6.451
Y 2.720 4.729 3.871
Y 4.534 6.598 6.451
H 0.907 0.935 0.025
H 0.907 0.935 2.556
H 6.347 6.542 7.766
H 6.347 6.542 10.297
```

The following is a PBE-GGA calculation of YH after structural relaxation, from the Alexandria database.

Values from the calculation:
D(E_F) ... 1.20 states/eV/f.u.
DFT total energy ... -5.29 eV per atom

Geometry as extended XYZ:
```
4
Lattice="3.338 0.000 0.000 0.000 3.349 0.000 0.000 0.000 5.724" Properties=species:S:1:pos:R:3 pbc="T T T"
Y 0.835 0.837 1.344
Y 2.504 2.512 4.380
H 0.835 0.837 4.810
H 2.504 2.512 0.914
```